Entry 1:
TeOs2Pd GGA-PBE relaxed; ΔE_f (raw) = 5.71 eV per formula unit; crystal system = tetragonal; DOS(E_F) = 8.1 states/eV per cell; VASP energy = -6.27 eV per atom; size of the total moment = 0.000 Bohr magnetons per cell; SG = No. 122
1.0
-1.2580 5.2594 -0.4095
-3.3674 -0.4765 4.2243
2.4679 3.8444 5.8820
Te Os Pd
2 4 2
direct
0.0000 0.0000 0.0000
0.7500 0.2500 0.5000
0.6114 0.1250 0.2500
0.1386 0.6250 0.2500
0.3750 0.3886 0.7500
0.8750 0.8614 0.7500
0.5000 0.5000 0.0000
0.2500 0.7500 0.5000



Entry 2:
Te2OsPd GGA-PBE relaxed; ΔE_f (raw) = 1.61 eV per formula unit; crystal system = cubic; energy above the most stable polymorph in this dataset = 143.7 meV/atom; DOS(E_F) = 1.0 states/eV per cell; VASP energy = -5.27 eV per atom; size of the total moment = 0.000 Bohr magnetons per cell; SG = No. 225
1.0
3.1151 -3.5252 0.7459
0.1092 -2.2313 4.2068
-1.5312 -4.4966 0.3513
Te Os Pd
2 1 1
direct
0.2500 0.2500 0.2500
0.7500 0.7500 0.7500
0.5000 0.5000 0.5000
0.0000 0.0000 0.0000